# 1
Crystalline Rb2MgBr6F at its relaxed geometry. Source: Alexandria, functional GGA-PBE.

Cell lengths 7.4107, 7.4107, 7.8985 Å; angles 62.02, 62.02, 90.00 degrees
Last column: magnetic moment on the atom in μB.
Fractional positions:
Mg1 0.0000 0.0000 0.0000  0.01
Br1 0.2183 0.2183 0.5634  0.14
Br2 0.7817 0.7817 0.4366  0.14
Br3 0.2582 0.2582 0.0000  0.34
Br4 0.7418 0.7418 0.0000  0.34
Br5 0.7418 0.2582 0.0000  0.30
Br6 0.2582 0.7418 0.0000  0.30
Rb1 0.7500 0.2500 0.5000  0.00
Rb2 0.2500 0.7500 0.5000  0.00
F1 0.5000 0.5000 0.0000  0.53

E_form (uncorrected), eV per atom: -0.993
Space-group type: I4/mmm (139)
DFT total energy, Ry/atom: -0.1865
Size of the total moment, μB/atom: 0.266
N(E_F), states/eV per atom: 1.1270

# 2
Crystalline BaZn4CuPd2 at its relaxed geometry. Source: Alexandria, functional GGA-PBE.

Cell lengths 4.3350, 4.3350, 9.8538 Å; angles 77.29, 77.29, 60.00 degrees
Fractional positions:
Ba1 0.0000 0.0000 0.0000
Zn1 0.4132 0.4132 0.7605
Zn2 0.8664 0.8664 0.4008
Zn3 0.1336 0.1336 0.5992
Zn4 0.5868 0.5868 0.2395
Cu1 0.5000 0.5000 0.5000
Pd1 0.7740 0.7740 0.6781
Pd2 0.2260 0.2260 0.3219

Space-group type: R-3m (166)
DFT total energy, Ry/atom: -0.2206
Size of the total moment, μB/atom: 0.000
N(E_F), states/eV per atom: 0.5164

# 3
Crystalline La2GaGe4Ir3 at its relaxed geometry. Source: Alexandria, functional GGA-PBE.

Cell lengths 4.3601, 4.3601, 10.2601 Å; angles 90.00, 90.00, 90.00 degrees
Fractional positions:
La1 0.5000 0.0000 0.2435
La2 0.0000 0.5000 0.7565
Ga1 0.5000 0.5000 0.5000
Ge1 0.5000 0.5000 0.0000
Ge2 0.0000 0.0000 0.0000
Ge3 0.5000 0.0000 0.6402
Ge4 0.0000 0.5000 0.3598
Ir1 0.0000 0.0000 0.5000
Ir2 0.5000 0.0000 0.8791
Ir3 0.0000 0.5000 0.1209

Space-group type: P-4m2 (115)
DFT total energy, Ry/atom: -0.4778
Size of the total moment, μB/atom: 0.000
N(E_F), states/eV per atom: 0.5707

# 4
Crystalline NaAgSb2 at its relaxed geometry. Source: Alexandria, functional GGA-PBE.

Cell lengths 3.8890, 3.8890, 6.7946 Å; angles 90.00, 90.00, 90.00 degrees
Fractional positions:
Sb1 0.0000 0.0000 0.7906
Sb2 0.0000 0.0000 0.2094
Ag1 0.5000 0.5000 0.0000
Na1 0.5000 0.5000 0.5000

E_form (uncorrected), eV per atom: -0.037
Space-group type: P4/mmm (123)
Polymorph energy (0 for the lowest one), eV/f.u.: 0.45
DFT total energy, Ry/atom: -0.2309
Size of the total moment, μB/atom: 0.000
N(E_F), states/eV per atom: 0.4739

# 5
Crystalline Nd7PtBr12 at its relaxed geometry. Source: Alexandria, functional GGA-PBE.

Cell lengths 9.5754, 9.5754, 9.5754 Å; angles 107.66, 107.66, 107.66 degrees
Last column: magnetic moment on the atom in μB.
Fractional positions:
Nd1 0.9681 0.6783 0.8863  0.03
Nd2 0.3217 0.1137 0.0319  0.03
Nd3 0.1137 0.0319 0.3217  0.03
Nd4 0.5000 0.5000 0.5000  0.28
Nd5 0.8863 0.9681 0.6783  0.03
Nd6 0.6783 0.8863 0.9681  0.03
Nd7 0.0319 0.3217 0.1137  0.03
Pt1 0.0000 0.0000 0.0000  0.02
Br1 0.9250 0.3141 0.7816  0.00
Br2 0.6859 0.2184 0.0750  0.00
Br3 0.4730 0.1638 0.3877  0.01
Br4 0.8362 0.6123 0.5270  0.01
Br5 0.2184 0.0750 0.6859  0.00
Br6 0.6123 0.5270 0.8362  0.01
Br7 0.3877 0.4730 0.1638  0.01
Br8 0.7816 0.9250 0.3141  0.00
Br9 0.1638 0.3877 0.4730  0.01
Br10 0.5270 0.8362 0.6123  0.01
Br11 0.3141 0.7816 0.9250  0.00
Br12 0.0750 0.6859 0.2184  0.00

E_form (uncorrected), eV per atom: -1.663
Space-group type: R-3 (148)
DFT total energy, Ry/atom: -0.3409
Size of the total moment, μB/atom: 0.049
N(E_F), states/eV per atom: 0.2163

# 6
Crystalline Cu2PI at its relaxed geometry. Source: Alexandria, functional GGA-PBE.

Cell lengths 4.6430, 4.6430, 4.6430 Å; angles 60.00, 60.00, 60.00 degrees
Fractional positions:
I1 0.5000 0.5000 0.5000
P1 0.0000 0.0000 0.0000
Cu1 0.2500 0.2500 0.2500
Cu2 0.7500 0.7500 0.7500

E_form (uncorrected), eV per atom: 0.796
Space-group type: Fm-3m (225)
Polymorph energy (0 for the lowest one), eV/f.u.: 2.72
DFT total energy, Ry/atom: -0.2199
Size of the total moment, μB/atom: 0.000
N(E_F), states/eV per atom: 0.5557

# 7
Crystalline PrBePtN at its relaxed geometry. Source: Alexandria, functional GGA-PBE.

Cell lengths 3.8674, 3.8674, 8.0802 Å; angles 90.00, 90.00, 90.00 degrees
Fractional positions:
Pr1 0.0000 0.5000 0.8402
Pr2 0.5000 0.0000 0.1598
Be1 0.0000 0.5000 0.3393
Be2 0.5000 0.0000 0.6607
Pt1 0.0000 0.0000 0.5000
Pt2 0.5000 0.5000 0.5000
N1 0.5000 0.0000 0.8613
N2 0.0000 0.5000 0.1387

E_form (uncorrected), eV per atom: -1.144
Space-group type: P4/nmm (129)
DFT total energy, Ry/atom: -0.5044
Size of the total moment, μB/atom: 0.000
N(E_F), states/eV per atom: 0.2591

# 8
Crystalline CsKAu at its relaxed geometry. Source: Alexandria, functional GGA-PBE.

Cell lengths 4.3306, 8.4880, 8.8558 Å; angles 104.41, 104.13, 89.97 degrees
Fractional positions:
Cs1 0.3188 0.4859 0.4029
Cs2 0.5593 0.6180 0.8859
K1 0.5554 0.1080 0.8772
K2 0.3221 0.9958 0.4116
Au1 0.9414 0.2783 0.6493
Au2 0.9364 0.8257 0.6396

Space-group type: P-1 (2)
DFT total energy, Ry/atom: -0.1434
Size of the total moment, μB/atom: 0.000
N(E_F), states/eV per atom: 0.7259

# 9
Crystalline HoThSb2 at its relaxed geometry. Source: Alexandria, functional GGA-PBE.

Cell lengths 3.8568, 5.3900, 5.3900 Å; angles 90.00, 90.00, 90.00 degrees
Fractional positions:
Sb1 0.0000 0.0000 0.5000
Sb2 0.0000 0.5000 0.0000
Ho1 0.5000 0.0000 0.0000
Th1 0.5000 0.5000 0.5000

E_form (uncorrected), eV per atom: -0.796
Space-group type: P4/mmm (123)
Polymorph energy (0 for the lowest one), eV/f.u.: 0.86
DFT total energy, Ry/atom: -0.4304
Size of the total moment, μB/atom: 0.000
N(E_F), states/eV per atom: 0.9427

# 10
Crystalline Nb2GeH at its relaxed geometry. Source: Alexandria, functional GGA-PBE.

Cell lengths 4.3558, 4.3558, 4.3558 Å; angles 60.00, 60.00, 60.00 degrees
Fractional positions:
H1 0.0000 0.0000 0.0000
Nb1 0.2500 0.2500 0.2500
Nb2 0.7500 0.7500 0.7500
Ge1 0.5000 0.5000 0.5000

Space-group type: Fm-3m (225)
Polymorph energy (0 for the lowest one), eV/f.u.: 2.12
DFT total energy, Ry/atom: -0.4989
Size of the total moment, μB/atom: 0.000
N(E_F), states/eV per atom: 0.5666

# 11
Crystalline LaGdCuHg at its relaxed geometry. Source: Alexandria, functional GGA-PBE.

Cell lengths 5.1617, 5.1617, 5.1617 Å; angles 60.00, 60.00, 60.00 degrees
Last column: magnetic moment on the atom in μB.
Fractional positions:
Gd1 0.0000 0.0000 0.0000  -7.08
Hg1 0.7500 0.7500 0.7500  -0.01
Cu1 0.2500 0.2500 0.2500  -0.01
La1 0.5000 0.5000 0.5000  -0.07

Space-group type: F-43m (216)
DFT total energy, Ry/atom: -0.4499
Size of the total moment, μB/atom: 1.851
N(E_F), states/eV per atom: 0.9899

# 12
Crystalline ErAs4 at its relaxed geometry. Source: Alexandria, functional GGA-PBE.

Cell lengths 5.3277, 5.3277, 5.3277 Å; angles 90.00, 90.00, 90.00 degrees
Fractional positions:
As1 0.0000 0.0000 0.0000
As2 0.5000 0.0000 0.5000
As3 0.0000 0.5000 0.5000
As4 0.5000 0.5000 0.0000
Er1 0.5000 0.5000 0.5000

Space-group type: Pm-3m (221)
DFT total energy, Ry/atom: -0.2875
Size of the total moment, μB/atom: 0.000
N(E_F), states/eV per atom: 1.2296

# 13
Crystalline Ce2SmHg8 at its relaxed geometry. Source: Alexandria, functional GGA-PBE.

Cell lengths 5.2445, 7.3950, 8.7432 Å; angles 115.02, 107.45, 90.00 degrees
Last column: magnetic moment on the atom in μB.
Fractional positions:
Ce1 0.1920 0.6920 0.3840  0.83
Ce2 0.8080 0.3080 0.6160  0.83
Sm1 0.5000 0.0000 0.0000  -0.01
Hg1 0.6455 0.8582 0.2911  0.01
Hg2 0.3545 0.5672 0.7089  0.01
Hg3 0.1600 0.1600 0.3199  0.00
Hg4 0.0000 0.2843 0.0000  0.00
Hg5 0.8400 0.8400 0.6801  0.00
Hg6 0.6455 0.4328 0.2911  0.01
Hg7 0.3545 0.1418 0.7089  0.01
Hg8 0.0000 0.7157 0.0000  0.00

Space-group type: Immm (71)
Polymorph energy (0 for the lowest one), eV/f.u.: 0.08
DFT total energy, Ry/atom: -0.1483
Size of the total moment, μB/atom: 0.170
N(E_F), states/eV per atom: 1.5582

# 14
Crystalline NiHgN2 at its relaxed geometry. Source: Alexandria, functional GGA-PBE.

Cell lengths 6.1092, 6.1092, 6.1092 Å; angles 32.51, 32.51, 32.51 degrees
Fractional positions:
Ni1 0.0000 0.0000 0.0000
Hg1 0.5000 0.5000 0.5000
N1 0.9002 0.9002 0.9002
N2 0.0998 0.0998 0.0998

E_form (uncorrected), eV per atom: 1.398
Space-group type: R-3m (166)
DFT total energy, Ry/atom: -0.3150
Size of the total moment, μB/atom: 0.000
N(E_F), states/eV per atom: 0.9600

# 15
Crystalline YB4W at its relaxed geometry. Source: Alexandria, functional GGA-PBE.

Cell lengths 3.6291, 6.0494, 11.6847 Å; angles 90.00, 90.00, 90.00 degrees
Fractional positions:
Y1 0.0000 0.6269 0.3504
Y2 0.0000 0.3731 0.6496
Y3 0.0000 0.1269 0.1496
Y4 0.0000 0.8731 0.8504
B1 0.5000 0.7867 0.1864
B2 0.5000 0.2133 0.8136
B3 0.5000 0.2867 0.3136
B4 0.5000 0.7133 0.6864
B5 0.5000 0.8663 0.0320
B6 0.5000 0.1337 0.9680
B7 0.5000 0.3663 0.4680
B8 0.5000 0.6337 0.5320
B9 0.5000 0.8862 0.4527
B10 0.5000 0.1138 0.5473
B11 0.5000 0.3862 0.0473
B12 0.5000 0.6138 0.9527
B13 0.5000 0.9762 0.3068
B14 0.5000 0.0238 0.6932
B15 0.5000 0.4762 0.1932
B16 0.5000 0.5238 0.8068
W1 0.0000 0.6307 0.0844
W2 0.0000 0.3693 0.9156
W3 0.0000 0.1307 0.4156
W4 0.0000 0.8693 0.5844

Space-group type: Pbam (55)
DFT total energy, Ry/atom: -0.6082
Size of the total moment, μB/atom: 0.000
N(E_F), states/eV per atom: 0.0121

# 16
Crystalline CsHgI at its relaxed geometry. Source: Alexandria, functional GGA-PBE.

Cell lengths 4.9955, 4.9955, 6.8254 Å; angles 111.47, 111.47, 90.00 degrees
Fractional positions:
Cs1 0.2916 0.2916 0.5832
I1 0.9446 0.9446 0.8892
Hg1 0.6138 0.6138 0.2276

E_form (uncorrected), eV per atom: -0.926
Space-group type: I4mm (107)
Polymorph energy (0 for the lowest one), eV/f.u.: 0.12
DFT total energy, Ry/atom: -0.1343
Size of the total moment, μB/atom: 0.000
N(E_F), states/eV per atom: 0.0000

# 17
Crystalline Ac3NdRh3 at its relaxed geometry. Source: Alexandria, functional GGA-PBE.

Cell lengths 6.2075, 6.2075, 6.2075 Å; angles 107.87, 107.87, 107.87 degrees
Fractional positions:
Ac1 0.5487 0.5487 0.1236
Ac2 0.5487 0.1236 0.5487
Ac3 0.1236 0.5487 0.5487
Nd1 0.9820 0.9820 0.9820
Rh1 0.5276 0.0344 0.0344
Rh2 0.0344 0.0344 0.5276
Rh3 0.0344 0.5276 0.0344

Space-group type: R3m (160)
Polymorph energy (0 for the lowest one), eV/f.u.: 0.72
DFT total energy, Ry/atom: -0.4484
Size of the total moment, μB/atom: 0.000
N(E_F), states/eV per atom: 0.4796

# 18
Crystalline TmTc3C at its relaxed geometry. Source: Alexandria, functional GGA-PBE.

Cell lengths 4.2028, 4.2028, 4.2028 Å; angles 90.00, 90.00, 90.00 degrees
Last column: magnetic moment on the atom in μB.
Fractional positions:
C1 0.0000 0.0000 0.0000  -0.03
Tm1 0.5000 0.5000 0.5000  0.13
Tc1 0.0000 0.5000 0.0000  0.56
Tc2 0.0000 0.0000 0.5000  0.56
Tc3 0.5000 0.0000 0.0000  0.56

Space-group type: Pm-3m (221)
DFT total energy, Ry/atom: -0.6594
Size of the total moment, μB/atom: 0.394
N(E_F), states/eV per atom: 0.9523

# 19
Crystalline CaCrTeN2 at its relaxed geometry. Source: Alexandria, functional GGA-PBE.

Cell lengths 4.4730, 4.4730, 6.2749 Å; angles 90.00, 90.00, 90.00 degrees
Last column: magnetic moment on the atom in μB.
Fractional positions:
Cr1 0.5000 0.5000 0.5000  -4.00
Ca1 0.0000 0.0000 0.0000  0.05
Te1 0.0000 0.0000 0.5000  0.26
N1 0.0000 0.5000 0.0000  1.34
N2 0.5000 0.0000 0.0000  1.34

E_form (uncorrected), eV per atom: 1.347
Space-group type: P4/mmm (123)
Polymorph energy (0 for the lowest one), eV/f.u.: 6.20
DFT total energy, Ry/atom: -0.3628
Size of the total moment, μB/atom: 0.000
N(E_F), states/eV per atom: 0.5915

# 20
Crystalline TbAlAgHg at its relaxed geometry. Source: Alexandria, functional GGA-PBE.

Cell lengths 4.9331, 4.9331, 4.9331 Å; angles 60.00, 60.00, 60.00 degrees
Fractional positions:
Tb1 0.5000 0.5000 0.5000
Hg1 0.7500 0.7500 0.7500
Ag1 0.2500 0.2500 0.2500
Al1 0.0000 0.0000 0.0000

Space-group type: F-43m (216)
DFT total energy, Ry/atom: -0.2345
Size of the total moment, μB/atom: 0.000
N(E_F), states/eV per atom: 0.5443